1.
## SmBAs (PBE)

Data for a relaxed structure of SmBAs.

The structure in POSCAR format:
```
SmBAs
1.0
0.000 3.262 3.262
3.262 0.000 3.262
3.262 3.262 0.000
Sm B As
1 1 1
direct
0.000 0.000 0.000
0.250 0.250 0.250
0.750 0.750 0.750
```

E_tot: -4.843 eV per atom
Distance to the lowest polymorph of the same formula: 400 meV per atom



2.
## ZnCuSiNi (PBE)

Data for a relaxed structure of ZnCuSiNi.

The structure in POSCAR format:
```
ZnCuSiNi
1.0
0.000 2.881 2.881
2.881 0.000 2.881
2.881 2.881 0.000
Zn Cu Si Ni
1 1 1 1
direct
0.000 0.000 0.000
0.750 0.750 0.750
0.500 0.500 0.500
0.250 0.250 0.250
```

E_tot: -4.157 eV per atom
Distance to the lowest polymorph of the same formula: 0 meV per atom



3.
## TbBiN2O (PBE)

Data for a relaxed structure of TbBiN2O.

The structure in POSCAR format:
```
TbBiN2O
1.0
3.744 0.000 0.000
0.000 3.883 0.000
-0.012 0.000 5.348
Tb Bi N O
1 1 2 1
direct
0.000 0.000 0.000
0.502 0.500 0.447
0.001 0.500 0.255
0.499 0.500 0.837
0.501 0.000 0.253
```

E_tot: -6.559 eV per atom



4.
## RbTbNO (PBE)

Data for a relaxed structure of RbTbNO.

The structure in POSCAR format:
```
RbTbNO
1.0
6.759 0.000 0.000
0.000 9.220 0.000
0.000 0.000 6.149
Rb Tb N O
4 4 4 4
direct
0.064 0.126 0.000
0.436 0.126 0.500
0.564 0.874 0.000
0.936 0.874 0.500
0.091 0.598 0.949
0.409 0.598 0.449
0.591 0.402 0.949
0.909 0.402 0.449
0.006 0.182 0.523
0.494 0.182 0.023
0.506 0.818 0.523
0.994 0.818 0.023
0.117 0.555 0.597
0.383 0.555 0.097
0.617 0.445 0.597
0.883 0.445 0.097
```

E_tot: -5.877 eV per atom
Distance to the lowest polymorph of the same formula: 70 meV per atom



5.
## CuReNiBi (PBE)

Data for a relaxed structure of CuReNiBi.

The structure in POSCAR format:
```
CuReNiBi
1.0
0.000 3.171 3.171
3.171 0.000 3.171
3.171 3.171 0.000
Cu Re Ni Bi
1 1 1 1
direct
0.000 0.000 0.000
0.500 0.500 0.500
0.250 0.250 0.250
0.750 0.750 0.750
```

E_tot: -5.701 eV per atom
Distance to the lowest polymorph of the same formula: 0 meV per atom



6.
## BeRe2W (PBE)

Data for a relaxed structure of BeRe2W.

The structure in POSCAR format:
```
BeRe2W
1.0
0.000 3.040 3.040
3.040 0.000 3.040
3.040 3.040 0.000
Be Re W
1 2 1
direct
0.000 0.000 0.000
0.500 0.500 0.500
0.750 0.750 0.750
0.250 0.250 0.250
```

E_tot: -10.170 eV per atom